[1]
DFT (PBE) results for an optimized crystal structure of BeReTc2.

For the uncorrected energy, the calculation gives -9.056 eV per atom. The calculation puts the total magnetization at 0.006 μB per formula unit. Its crystal system is cubic.

It has space group F-43m (No. 216), with a = 5.998 Å, b = 5.998 Å, c = 5.998 Å, α = 90.00°, β = 90.00° and γ = 90.00°. The asymmetric unit holds Be at (0.000, 0.000, 0.000), Re at (0.250, 0.250, 0.250), Tc at (0.000, 0.000, 0.500) and Tc at (0.250, 0.250, 0.750).

[2]
DFT (PBE) results for an optimized crystal structure of Er3LuSc2OsSe2.

For the uncorrected energy, the calculation gives -6.300 eV per atom. The calculation puts the total magnetization at 0.006 μB per formula unit. Its crystal system is orthorhombic.

It has space group Amm2 (No. 38), with a = 3.905 Å, b = 13.443 Å, c = 7.715 Å, α = 90.00°, β = 90.00° and γ = 90.00°. The asymmetric unit holds Er at (0.000, 0.000, 0.000), Er at (0.000, 0.203, 0.407), Lu at (0.500, 0.000, 0.367), Sc at (0.500, 0.122, 0.725), Os at (0.000, 0.000, 0.624) and Se at (0.500, 0.169, 0.105).

[3]
DFT (PBE) results for an optimized crystal structure of Nd4SiPt3.

For the uncorrected energy, the calculation gives -6.347 eV per atom. The calculation puts the total magnetization at 0.015 μB per formula unit. Its crystal system is monoclinic.

It has space group Pm (No. 6), with a = 5.866 Å, b = 4.384 Å, c = 7.656 Å, α = 90.00°, β = 90.09° and γ = 90.00°. The asymmetric unit holds Nd at (0.000, 0.000, 0.000), Nd at (0.232, 0.000, 0.494), Nd at (0.495, 0.500, 0.130), Nd at (0.734, 0.500, 0.640), Si at (0.734, 0.000, 0.355), Pt at (0.211, 0.500, 0.773), Pt at (0.513, 0.000, 0.860) and Pt at (0.992, 0.500, 0.281).

[4]
DFT (PBE) results for an optimized crystal structure of MgHgPd2.

For the uncorrected energy, the calculation gives -3.425 eV per atom. Its crystal system is cubic.

It has space group F-43m (No. 216), with a = 6.484 Å, b = 6.484 Å, c = 6.484 Å, α = 90.00°, β = 90.00° and γ = 90.00°. The asymmetric unit holds Mg at (0.000, 0.000, 0.000), Hg at (0.250, 0.250, 0.250), Pd at (0.000, 0.000, 0.500) and Pd at (0.250, 0.250, 0.750).

Copy entry 3 word for word.
DFT (PBE) results for an optimized crystal structure of Nd4SiPt3.

For the uncorrected energy, the calculation gives -6.347 eV per atom. The calculation puts the total magnetization at 0.015 μB per formula unit. Its crystal system is monoclinic.

It has space group Pm (No. 6), with a = 5.866 Å, b = 4.384 Å, c = 7.656 Å, α = 90.00°, β = 90.09° and γ = 90.00°. The asymmetric unit holds Nd at (0.000, 0.000, 0.000), Nd at (0.232, 0.000, 0.494), Nd at (0.495, 0.500, 0.130), Nd at (0.734, 0.500, 0.640), Si at (0.734, 0.000, 0.355), Pt at (0.211, 0.500, 0.773), Pt at (0.513, 0.000, 0.860) and Pt at (0.992, 0.500, 0.281).